DFT (GGA+U) results for a relaxed structure of Li4V2Cr3Co3O16.

Unit cell a=10.0374 b=5.8244 c=9.2975 alpha=90.00 beta=90.58 gamma=90.00
Space group Cm (No. 8)
Unique sites:
Li (0.0000, 0.0000, 0.0000) x2
Li (0.0018, 0.0000, 0.4956) x2
Li (0.1809, 0.5000, 0.0973) x2
Li (0.3472, 0.0000, 0.5927) x2
V (0.1768, 0.5000, 0.4959) x2
V (0.3447, 0.0000, 0.9996) x2
Cr (0.0967, 0.2565, 0.7777) x4
Cr (0.1816, 0.0000, 0.2778) x2
Co (0.3384, 0.5000, 0.7781) x2
Co (0.4240, 0.2424, 0.2789) x4
O (0.0041, 0.0000, 0.1884) x2
O (0.0053, 0.0000, 0.6852) x2
O (0.0326, 0.5000, 0.6467) x2
O (0.0951, 0.2586, 0.4024) x4
O (0.1812, 0.0000, 0.9081) x2
O (0.1821, 0.5000, 0.8887) x2
O (0.2544, 0.2855, 0.6501) x4
O (0.2754, 0.2202, 0.1508) x4
O (0.3350, 0.5000, 0.3946) x2
O (0.3495, 0.0000, 0.3847) x2
O (0.4227, 0.2395, 0.9006) x4
O (0.4884, 0.0000, 0.1567) x2

Summary:
The density comes out at 4.4 g cm⁻³. The value obtained for the total magnetization is 0.1058 μB/atom. The total energy is -6.677 eV/atom.